This record from Alexandria via LeMat-Bulk describes crystalline FeI2BrN at its relaxed geometry. The functional is PBE.

## Properties
final energy	-13.61	eV/cell
crystal system	tetragonal
DOS at the Fermi energy	1.644	states/eV per atom

Cell lengths 6.2590, 6.2590, 3.7263 Å; angles 90.00, 90.00, 90.00 degrees
Space group P4/mmm (No. 123)
One atom of each set of equivalent atoms:
Fe 0.0000 0.0000 0.0000 (multiplicity 1)
I 0.0000 0.5000 0.5000 (multiplicity 2)
Br 0.5000 0.5000 0.5000 (multiplicity 1)
N 0.5000 0.5000 0.0000 (multiplicity 1)


This record from Alexandria via LeMat-Bulk describes crystalline Pm2Al4SnAu3 at its relaxed geometry. The functional is PBE.

## Properties
energy of formation from the pure elements	-0.662	eV/atom
crystal system	tetragonal
DOS at the Fermi energy	0.387	states/eV per atom

Cell lengths 4.3976, 4.3976, 10.8492 Å; angles 90.00, 90.00, 90.00 degrees
Space group P-4m2 (No. 115)
One atom of each set of equivalent atoms:
Pm 0.0000 0.5000 0.2441 (multiplicity 2)
Al 0.0000 0.0000 0.0000 (multiplicity 1)
Al 0.0000 0.5000 0.6486 (multiplicity 2)
Al 0.5000 0.5000 0.0000 (multiplicity 1)
Sn 0.0000 0.0000 0.5000 (multiplicity 1)
Au 0.0000 0.5000 0.8746 (multiplicity 2)
Au 0.5000 0.5000 0.5000 (multiplicity 1)


This record from Alexandria via LeMat-Bulk describes crystalline BaMgBeAs2 at its relaxed geometry. The functional is PBE.

## Properties
energy of formation from the pure elements	-0.627	eV/atom
crystal system	monoclinic

Cell lengths 7.2639, 5.2440, 7.3630 Å; angles 90.00, 104.11, 90.00 degrees
Space group P2/c (No. 13)
One atom of each set of equivalent atoms:
Ba 0.0000 0.2393 0.2500 (multiplicity 2)
Mg 0.5000 0.4915 0.7500 (multiplicity 2)
Be 0.5000 0.0000 0.0000 (multiplicity 2)
As 0.2744 0.2596 0.9474 (multiplicity 4)


This record from Alexandria via LeMat-Bulk describes crystalline CeHoZrIn at its relaxed geometry. The functional is PBE.

## Properties
energy of formation from the pure elements	-0.035	eV/atom
crystal system	cubic
DOS at the Fermi energy	1.701	states/eV per atom

Cell lengths 7.3964, 7.3964, 7.3964 Å; angles 90.00, 90.00, 90.00 degrees
Space group F-43m (No. 216)
One atom of each set of equivalent atoms:
Ce 0.0000 0.0000 0.0000 (multiplicity 4)
Ho 0.2500 0.2500 0.7500 (multiplicity 4)
Zr 0.2500 0.2500 0.2500 (multiplicity 4)
In 0.0000 0.0000 0.5000 (multiplicity 4)


This record from Alexandria via LeMat-Bulk describes crystalline Pr4HoGa4 at its relaxed geometry. The functional is PBE.

## Properties
energy of formation from the pure elements	-0.389	eV/atom
crystal system	tetragonal
DOS at the Fermi energy	0.997	states/eV per atom

Cell lengths 10.3996, 10.3996, 4.7955 Å; angles 90.00, 90.00, 90.00 degrees
Space group I4/m (No. 87)
One atom of each set of equivalent atoms:
Pr 0.1342 0.3527 0.0000 (multiplicity 8)
Ho 0.0000 0.0000 0.0000 (multiplicity 2)
Ga 0.0691 0.1655 0.5000 (multiplicity 8)


This record from Alexandria via LeMat-Bulk describes crystalline AcTb4Dy at its relaxed geometry. The functional is PBE.

## Properties
energy of formation from the pure elements	0.056	eV/atom
crystal system	monoclinic
DOS at the Fermi energy	1.594	states/eV per atom

Cell lengths 10.7440, 13.4113, 6.7107 Å; angles 90.00, 122.55, 90.00 degrees
Space group C2/c (No. 15)
One atom of each set of equivalent atoms:
Ac 0.0000 0.0738 0.2500 (multiplicity 4)
Tb 0.1604 0.4221 0.7467 (multiplicity 8)
Tb 0.1656 0.3156 0.2467 (multiplicity 8)
Dy 0.0000 0.1918 0.7500 (multiplicity 4)


This record from Alexandria via LeMat-Bulk describes crystalline Y2ReB6 at its relaxed geometry. The functional is PBE.

## Properties
energy of formation from the pure elements	-0.617	eV/atom
crystal system	orthorhombic
DOS at the Fermi energy	0.291	states/eV per atom

Cell lengths 9.1971, 11.5878, 3.6840 Å; angles 90.00, 90.00, 90.00 degrees
Space group Pbam (No. 55)
One atom of each set of equivalent atoms:
Y 0.0573 0.1298 0.0000 (multiplicity 4)
Y 0.1767 0.4141 0.0000 (multiplicity 4)
Re 0.1378 0.6791 0.0000 (multiplicity 4)
B 0.0179 0.2883 0.5000 (multiplicity 4)
B 0.0531 0.5673 0.5000 (multiplicity 4)
B 0.1003 0.9719 0.5000 (multiplicity 4)
B 0.1305 0.8140 0.5000 (multiplicity 4)
B 0.2088 0.2346 0.5000 (multiplicity 4)
B 0.2486 0.5815 0.5000 (multiplicity 4)


This record from Alexandria via LeMat-Bulk describes crystalline Tb3TlAg2 at its relaxed geometry. The functional is PBE.

## Properties
energy of formation from the pure elements	-0.325	eV/atom
crystal system	tetragonal
DOS at the Fermi energy	0.749	states/eV per atom

Cell lengths 3.6330, 3.6330, 11.5599 Å; angles 90.00, 90.00, 90.00 degrees
Space group P4/mmm (No. 123)
One atom of each set of equivalent atoms:
Tb 0.0000 0.0000 0.0000 (multiplicity 1)
Tb 0.0000 0.0000 0.3200 (multiplicity 2)
Tl 0.5000 0.5000 0.5000 (multiplicity 1)
Ag 0.5000 0.5000 0.1599 (multiplicity 2)


This record from Alexandria via LeMat-Bulk describes crystalline MgRuSe at its relaxed geometry. The functional is PBE.

## Properties
final energy	-14.74	eV/cell
crystal system	hexagonal
DOS at the Fermi energy	1.009	states/eV per atom

Cell lengths 4.2281, 4.2281, 3.3321 Å; angles 90.00, 90.00, 120.00 degrees
Space group P-6m2 (No. 187)
One atom of each set of equivalent atoms:
Mg 0.0000 0.0000 0.0000 (multiplicity 1)
Ru 0.6667 0.3333 0.5000 (multiplicity 1)
Se 0.3333 0.6667 0.5000 (multiplicity 1)


This record from Alexandria via LeMat-Bulk describes crystalline Ca3Cd5In6 at its relaxed geometry. The functional is PBE.

## Properties
energy of formation from the pure elements	-0.256	eV/atom
crystal system	orthorhombic
DOS at the Fermi energy	0.381	states/eV per atom

Cell lengths 4.9059, 13.7295, 10.8677 Å; angles 90.00, 90.00, 90.00 degrees
Space group Pmmn (No. 59, origin choice 2)
One atom of each set of equivalent atoms:
Ca 0.2500 0.0399 0.2473 (multiplicity 4)
Ca 0.2500 0.7500 0.2489 (multiplicity 2)
Cd 0.2500 0.1058 0.6183 (multiplicity 4)
Cd 0.2500 0.6037 0.9710 (multiplicity 4)
Cd 0.2500 0.7500 0.7549 (multiplicity 2)
In 0.2500 0.0996 0.8790 (multiplicity 4)
In 0.2500 0.2500 0.0784 (multiplicity 2)
In 0.2500 0.2500 0.4141 (multiplicity 2)
In 0.2500 0.6024 0.5325 (multiplicity 4)


This record from Alexandria via LeMat-Bulk describes crystalline NiMo2SeI at its relaxed geometry. The functional is PBE.

## Properties
final energy	-25.23	eV/cell
crystal system	tetragonal
DOS at the Fermi energy	1.092	states/eV per atom

Cell lengths 4.8846, 4.8846, 4.6446 Å; angles 90.00, 90.00, 90.00 degrees
Space group P4/mmm (No. 123)
One atom of each set of equivalent atoms:
Ni 0.0000 0.0000 0.0000 (multiplicity 1)
Mo 0.0000 0.5000 0.0000 (multiplicity 2)
Se 0.5000 0.5000 0.5000 (multiplicity 1)
I 0.0000 0.0000 0.5000 (multiplicity 1)


no.,ρ (g/cm3),spin magnetization (μB per formula unit)
1,4.59,3.4
2,8.77,0.0
3,3.91,0.0
4,8.39,0.5
5,6.45,0.0
6,8.35,0.0
7,7.26,0.0
8,9.76,0.0
9,6.58,0.0
10,6.22,0.0
11,6.84,5.3